# 1
First-principles (PBE-GGA) data for a relaxed structure of TbMnAs2, as listed in Alexandria.

volume: 20.14 Å³ per atom
total magnetization: 2.98 μB per formula unit
ΔE to the lowest computed polymorph: 94.2 meV per atom
mass density: 7.50 g cm⁻³

Unit cell a=3.943 b=3.943 c=6.402 alpha=72.07 beta=72.07 gamma=60.00
Each line ends with the local moment (μB).
Sites, in units of the cell vectors:
Tb1 0.500 0.500 0.500  -0.07
As1 0.265 0.265 0.205  -0.07
As2 0.735 0.735 0.795  -0.07
Mn1 0.000 0.000 0.000  3.14



# 2
First-principles (PBE-GGA) data for a relaxed structure of Mn2TcAs, as listed in Alexandria.

volume: 13.89 Å³ per atom
total magnetization: 5.33 μB per formula unit
calculated total energy: -8.27 eV per atom
mass density: 8.45 g cm⁻³

Unit cell a=4.526 b=4.526 c=2.910 alpha=90.00 beta=90.00 gamma=111.25
Each line ends with the local moment (μB).
Sites, in units of the cell vectors:
Mn1 0.500 0.500 0.000  2.73
Mn2 0.000 0.000 0.000  2.73
As1 0.000 0.500 0.500  -0.06
Tc1 0.500 0.000 0.500  -0.22



# 3
First-principles (PBE-GGA) data for a relaxed structure of MnTc2As, as listed in Alexandria.

volume: 16.28 Å³ per atom
total magnetization: 3.02 μB per formula unit
calculated total energy: -8.24 eV per atom
mass density: 8.31 g cm⁻³

Unit cell a=6.270 b=6.270 c=6.270 alpha=45.23 beta=152.77 gamma=144.60
Each line ends with the local moment (μB).
Sites, in units of the cell vectors:
Mn1 0.000 0.000 0.000  3.07
Tc1 0.000 0.294 0.294  -0.01
Tc2 0.000 0.706 0.706  -0.01
As1 0.000 0.500 0.500  -0.07